LuCuSbAu | PBE | optimized geometry

Cell: 4.881 4.881 4.881 Å, 60.00 60.00 60.00°
Atoms (fractional coordinates):
Au  0.500  0.500  0.500
Cu  0.750  0.750  0.750
Lu  0.250  0.250  0.250
Sb  0.000  0.000  0.000

E: -4.286 eV per atom
Space-group type: No. 216
Spin magnetization: 0.0 μB/f.u.